(1)
DFT (PBE) results for a geometry-optimized BeSeF3 structure.

Cell: 3.8314 3.8314 3.8314 Å, 90.00 90.00 90.00°
Last column: magnetic moment on the atom in μB.
Element x y z (fractional)
Be  0.0000  0.0000  0.0000  -0.01
Se  0.5000  0.5000  0.5000  1.69
F  0.0000  0.5000  0.0000  0.11
F  0.0000  0.0000  0.5000  0.22
F  0.5000  0.0000  0.0000  0.15

Properties
Energy relative to the lowest polymorph listed for this composition, meV per atom: 0.0
SG: Pm-3m, No. 221

---

(2)
DFT (PBE) results for a geometry-optimized BeSiSe2F structure.

Cell: 4.3729 4.6356 4.3729 Å, 90.00 90.00 90.00°
Element x y z (fractional)
Be  0.0000  0.0000  0.0000
Si  0.0000  0.5000  0.0000
Se  0.0000  0.0000  0.5000
Se  0.5000  0.0000  0.0000
F  0.5000  0.5000  0.5000

Properties
SG: P4/mmm, No. 123

---

(3)
DFT (PBE) results for a geometry-optimized BeSnSeF2 structure.

Cell: 3.7020 6.8801 3.7020 Å, 90.00 90.00 90.00°
Last column: magnetic moment on the atom in μB.
Element x y z (fractional)
Be  0.0000  0.0000  0.0000  0.01
Sn  0.0000  0.5000  0.0000  0.07
Se  0.5000  0.5000  0.5000  0.00
F  0.0000  0.0000  0.5000  0.01
F  0.5000  0.0000  0.0000  0.00

Properties
SG: P4/mmm, No. 123

---

no.,uncorrected formation energy (eV per atom)
1,-1.423
2,0.121
3,-1.289